Record 1
Er4TcHg: relaxed, PBE.

Values from the calculation:
Space-group type: No. 14
Magnetic moment: 0.0 μB per formula unit

a b c (Å): 6.5827 6.8176 7.6933
angles (deg): 90.00 89.43 90.00
Element x y z (fractional)
Er1 0.8449 0.1478 0.3601
Tc1 0.0000 0.5000 0.5000
Er2 0.1431 0.3502 0.7928
Er3 0.1551 0.8522 0.6399
Hg1 0.0000 0.0000 0.0000
Er4 0.6431 0.1498 0.7928
Tc2 0.5000 0.0000 0.5000
Er5 0.6551 0.6478 0.6399
Er6 0.3449 0.3522 0.3601
Hg2 0.5000 0.5000 0.0000
Er7 0.8569 0.6498 0.2072
Er8 0.3569 0.8502 0.2072

=====

Record 2
Er4TcHg: relaxed, PBE.

Values from the calculation:
Space-group type: No. 15
Magnetic moment: 0.0 μB per formula unit

a b c (Å): 6.2403 7.5653 7.5653
angles (deg): 112.06 98.68 98.68
Element x y z (fractional)
Hg1 0.7500 0.6273 0.3727
Er1 0.5949 0.2029 0.3622
Er2 0.4051 0.7971 0.6378
Tc1 0.2500 0.9988 0.0012
Tc2 0.7500 0.0012 0.9988
Er3 0.0420 0.9341 0.2758
Er4 0.9580 0.0659 0.7242
Er5 0.9051 0.6378 0.7971
Hg2 0.2500 0.3727 0.6273
Er6 0.5420 0.2758 0.9341
Er7 0.0949 0.3622 0.2029
Er8 0.4580 0.7242 0.0659

=====

Record 3
Er8Tc2Hg: relaxed, PBE.

Values from the calculation:
Space-group type: No. 8
Magnetic moment: 0.0 μB per formula unit

a b c (Å): 5.2308 6.8764 8.9105
angles (deg): 112.66 107.07 90.01
Element x y z (fractional)
Er1 0.3013 0.3473 0.2390
Er2 0.1372 0.5461 0.9095
Er3 0.5256 0.7128 0.6874
Er4 0.6365 0.2660 0.9088
Hg1 0.1366 0.9696 0.9092
Er5 0.7475 0.9354 0.1313
Tc1 0.4723 0.2892 0.5812
Er6 0.3460 0.8594 0.3288
Tc2 0.7992 0.6170 0.2361
Er7 0.9713 0.0174 0.5792
Er8 0.9265 0.4399 0.4895

=====

Record 4
Er8TcHg2: relaxed, PBE.

Values from the calculation:
Space-group type: No. 12
Magnetic moment: 0.0 μB per formula unit

a b c (Å): 5.2472 6.8837 9.0486
angles (deg): 108.68 106.85 90.00
Element x y z (fractional)
Er1 0.9771 0.2082 0.9542
Er2 0.8051 0.7104 0.6102
Er3 0.6557 0.9537 0.3114
Er4 0.0229 0.7918 0.0458
Hg1 0.1834 0.7060 0.3668
Er5 0.1949 0.2896 0.3898
Er6 0.3443 0.0463 0.6886
Er7 0.5921 0.4259 0.1843
Hg2 0.8166 0.2940 0.6332
Er8 0.4079 0.5741 0.8157
Tc1 0.5000 0.0000 0.0000

=====

Record 5
Er6TcHg2: relaxed, PBE.

Values from the calculation:
Space-group type: No. 71
Magnetic moment: 0.0 μB per formula unit

a b c (Å): 5.0415 7.0356 8.5080
angles (deg): 114.42 107.22 90.00
Element x y z (fractional)
Er1 0.8428 0.5995 0.6852
Er2 0.1572 0.9142 0.3148
Hg1 0.3338 0.3335 0.6669
Er3 0.5000 0.2321 0.0000
Er4 0.1572 0.4005 0.3148
Tc1 0.0000 0.0000 0.0000
Er5 0.5000 0.7679 0.0000
Hg2 0.6662 0.6665 0.3331
Er6 0.8428 0.0858 0.6852

=====

Record 6
Er7Tc2Hg2: relaxed, PBE.

Values from the calculation:
Space-group type: No. 65
Magnetic moment: 0.0 μB per formula unit

a b c (Å): 6.5493 7.5365 6.5493
angles (deg): 90.00 113.53 90.00
Element x y z (fractional)
Tc1 0.2989 0.0000 0.7011
Hg1 0.1936 0.5000 0.1936
Hg2 0.8064 0.5000 0.8064
Er1 0.5000 0.7785 0.5000
Er2 0.5000 0.7312 0.0000
Tc2 0.7011 0.0000 0.2989
Er3 0.5000 0.2688 0.0000
Er4 0.0000 0.0000 0.0000
Er5 0.0000 0.2688 0.5000
Er6 0.5000 0.2215 0.5000
Er7 0.0000 0.7312 0.5000

=====

In eV per atom, the energy of formation values for the records above are, in order, -0.058, -0.277, -0.146, -0.222, -0.096, -0.099.